(1)
Material: TbPmNd
Method: DFT, PBE-GGA
State: relaxed

a = 3.5765 Å, b = 3.5765 Å, c = 18.6254 Å
α = 90.00°, β = 90.00°, γ = 120.00°
Positions (direct):
1 Pm 0.3333 0.6667 0.1552
2 Tb 0.0000 0.0000 0.5005
3 Nd 0.3333 0.6667 0.3444
4 Pm 0.6667 0.3333 0.6552
5 Tb 0.0000 0.0000 0.0005
6 Nd 0.6667 0.3333 0.8444

Computed properties:
As for the symmetry: P6_3mc, No. 186. Its formation enthalpy at 0 K is 0.0893 eV/atom.



(2)
Material: TbPm4Nd
Method: DFT, PBE-GGA
State: relaxed

a = 6.4110 Å, b = 6.4110 Å, c = 6.0883 Å
α = 89.89°, β = 89.89°, γ = 55.15°
Positions (direct):
1 Pm 0.3253 0.3253 0.9550
2 Tb 0.0000 0.0000 0.0000
3 Pm 0.6747 0.6747 0.0450
4 Nd 0.5000 0.5000 0.5000
5 Pm 0.1738 0.1738 0.4544
6 Pm 0.8262 0.8262 0.5456

Computed properties:
As for the symmetry: C2/m, No. 12. Its formation enthalpy at 0 K is 0.1057 eV/atom.



(3)
Material: Tb2PmNd5
Method: DFT, PBE-GGA
State: relaxed

a = 5.1555 Å, b = 7.2916 Å, c = 14.5817 Å
α = 90.00°, β = 90.00°, γ = 90.00°
Positions (direct):
1 Nd 0.0000 0.0003 0.7498
2 Nd 0.5000 0.7505 0.6248
3 Nd 0.0000 0.0000 0.0000
4 Nd 0.0000 0.5003 0.7502
5 Nd 0.5000 0.2495 0.3752
6 Nd 0.0000 0.9997 0.2502
7 Nd 0.5000 0.2505 0.8752
8 Nd 0.5000 0.7495 0.1248
9 Tb 0.5000 0.2501 0.6247
10 Tb 0.5000 0.2499 0.1247
11 Pm 0.0000 0.0000 0.5000
12 Nd 0.0000 0.5000 0.5000
13 Tb 0.5000 0.7499 0.3753
14 Tb 0.5000 0.7501 0.8753
15 Pm 0.0000 0.5000 0.0000
16 Nd 0.0000 0.4997 0.2498

Computed properties:
As for the symmetry: Pbam, No. 55. Its formation enthalpy at 0 K is 0.0135 eV/atom.



(4)
Material: TbPm12Nd5
Method: DFT, PBE-GGA
State: relaxed

a = 12.0357 Å, b = 10.5998 Å, c = 5.9099 Å
α = 89.98°, β = 89.96°, γ = 55.41°
Positions (direct):
1 Nd 0.6379 0.7242 0.0000
2 Pm 0.0254 0.6425 0.0079
3 Pm 0.6679 0.3575 0.0079
4 Pm 0.4737 0.3584 0.5081
5 Pm 0.7012 0.0000 0.9522
6 Pm 0.5263 0.6416 0.4919
7 Pm 0.1679 0.3584 0.4919
8 Pm 0.8321 0.6416 0.5081
9 Pm 0.3321 0.6425 0.9921
10 Nd 0.8636 0.2727 0.5000
11 Pm 0.9746 0.3575 0.9921
12 Pm 0.8017 0.0000 0.4530
13 Pm 0.1983 0.0000 0.5470
14 Tb 0.0000 0.0000 0.0000
15 Nd 0.5000 0.0000 0.5000
16 Pm 0.2988 0.0000 0.0478
17 Nd 0.1364 0.7273 0.5000
18 Nd 0.3621 0.2759 0.0000

Computed properties:
As for the symmetry: C2/m, No. 12. Its formation enthalpy at 0 K is 0.0810 eV/atom.



(5)
Material: TbPm3Nd6
Method: DFT, PBE-GGA
State: relaxed

a = 7.1176 Å, b = 12.9730 Å, c = 6.7682 Å
α = 129.03°, β = 121.72°, γ = 90.00°
Positions (direct):
1 Pm 0.0000 0.0000 0.0000
2 Tb 0.5000 0.5000 0.0000
3 Nd 0.1721 0.6890 0.8898
4 Nd 0.7177 0.6890 0.8898
5 Nd 0.6670 0.0072 0.3339
6 Pm 0.1963 0.6580 0.3925
7 Pm 0.8037 0.3420 0.6075
8 Nd 0.3330 0.9928 0.6661
9 Nd 0.2823 0.3110 0.1102
10 Nd 0.8279 0.3110 0.1102

Computed properties:
As for the symmetry: C2/m, No. 12. Its formation enthalpy at 0 K is 0.2547 eV/atom.



(6)
Material: TbPm3Nd7
Method: DFT, PBE-GGA
State: relaxed

a = 5.9898 Å, b = 8.6294 Å, c = 8.6294 Å
α = 82.91°, β = 110.26°, γ = 110.26°
Positions (direct):
1 Pm 0.0000 0.2078 0.7922
2 Nd 0.0000 0.5000 0.5000
3 Tb 0.5000 0.5000 0.5000
4 Pm 0.0000 0.7922 0.2078
5 Nd 0.7904 0.7908 0.7908
6 Nd 0.2096 0.2092 0.2092
7 Nd 0.3024 0.0081 0.5973
8 Pm 0.5000 0.0000 0.0000
9 Nd 0.3024 0.5973 0.0081
10 Nd 0.6976 0.9919 0.4027
11 Nd 0.6976 0.4027 0.9919

Computed properties:
As for the symmetry: Immm, No. 71. Its formation enthalpy at 0 K is 0.2244 eV/atom.



(7)
Material: Tb3Pm4Nd2
Method: DFT, PBE-GGA
State: relaxed

a = 6.2359 Å, b = 11.4440 Å, c = 11.4440 Å
α = 62.14°, β = 62.16°, γ = 62.16°
Positions (direct):
1 Pm 0.5802 0.0925 0.8128
2 Nd 0.4198 0.2398 0.5207
3 Pm 0.5813 0.4250 0.1458
4 Pm 0.9187 0.8542 0.5750
5 Pm 0.0802 0.8128 0.0925
6 Pm 0.4198 0.9075 0.1872
7 Tb 0.2471 0.9334 0.7341
8 Tb 0.7471 0.7341 0.9334
9 Pm 0.0813 0.1458 0.4250
10 Tb 0.7529 0.0666 0.2659
11 Nd 0.0802 0.4793 0.7602
12 Tb 0.2529 0.2659 0.0666
13 Pm 0.9198 0.1872 0.9075
14 Tb 0.2500 0.5999 0.4001
15 Pm 0.4187 0.5750 0.8542
16 Tb 0.7500 0.4001 0.5999
17 Nd 0.5802 0.7602 0.4793
18 Nd 0.9198 0.5207 0.2398

Computed properties:
As for the symmetry: C2/c, No. 15. Its formation enthalpy at 0 K is 0.0836 eV/atom.



(8)
Material: Tb3Pm2Nd6
Method: DFT, PBE-GGA
State: relaxed

a = 4.8015 Å, b = 4.8015 Å, c = 17.4513 Å
α = 97.91°, β = 97.91°, γ = 90.00°
Positions (direct):
1 Nd 0.7039 0.7039 0.4078
2 Tb 0.0000 0.0000 0.0000
3 Nd 0.6212 0.1212 0.2424
4 Pm 0.4550 0.4550 0.9099
5 Nd 0.2961 0.2961 0.5922
6 Pm 0.5450 0.5450 0.0901
7 Nd 0.3788 0.8788 0.7576
8 Nd 0.8788 0.3788 0.7576
9 Tb 0.1960 0.1960 0.3919
10 Tb 0.8040 0.8040 0.6081
11 Nd 0.1212 0.6212 0.2424

Computed properties:
As for the symmetry: I4/mmm, No. 139. Its formation enthalpy at 0 K is 0.2773 eV/atom.



(9)
Material: Tb5PmNd
Method: DFT, PBE-GGA
State: relaxed

a = 5.7871 Å, b = 7.8996 Å, c = 7.8996 Å
α = 66.70°, β = 68.51°, γ = 68.51°
Positions (direct):
1 Tb 0.7478 0.2522 0.2522
2 Pm 0.0000 0.0000 0.0000
3 Tb 0.2522 0.7478 0.7478
4 Tb 0.5000 0.1790 0.8210
5 Tb 0.5000 0.8210 0.1790
6 Tb 0.0000 0.5000 0.5000
7 Nd 0.5000 0.5000 0.5000

Computed properties:
As for the symmetry: Immm, No. 71. Its formation enthalpy at 0 K is 1.0592 eV/atom.



(10)
Material: Tb2Pm4Nd
Method: DFT, PBE-GGA
State: relaxed

a = 3.5772 Å, b = 5.8199 Å, c = 12.0524 Å
α = 103.99°, β = 98.53°, γ = 90.00°
Positions (direct):
1 Nd 0.0000 0.0000 0.0000
2 Pm 0.9130 0.4129 0.8260
3 Tb 0.2747 0.2748 0.5494
4 Pm 0.6377 0.1378 0.2755
5 Pm 0.3623 0.8622 0.7245
6 Pm 0.0870 0.5871 0.1740
7 Tb 0.7253 0.7252 0.4506

Computed properties:
As for the symmetry: Immm, No. 71. Its formation enthalpy at 0 K is 0.0862 eV/atom.



Number 1: density of states at the Fermi level 4.56 states/eV/f.u., total magnetization 0.0 μB/f.u.. Number 2: density of states at the Fermi level 10.73 states/eV/f.u., total magnetization 0.0 μB/f.u.. Number 3: density of states at the Fermi level 12.01 states/eV/f.u., total magnetization 0.0 μB/f.u.. Number 4: density of states at the Fermi level 28.04 states/eV/f.u., total magnetization 0.0 μB/f.u.. Number 5: density of states at the Fermi level 17.03 states/eV/f.u., total magnetization 0.0 μB/f.u.. Number 6: density of states at the Fermi level 16.45 states/eV/f.u., total magnetization 0.0 μB/f.u.. Number 7: density of states at the Fermi level 12.43 states/eV/f.u., total magnetization 0.0 μB/f.u.. Number 8: density of states at the Fermi level 16.35 states/eV/f.u., total magnetization 0.0 μB/f.u.. Number 9: density of states at the Fermi level 11.03 states/eV/f.u., total magnetization 0.0 μB/f.u.. Number 10: density of states at the Fermi level 10.53 states/eV/f.u., total magnetization 0.0 μB/f.u..